PuSbHPt PBE-GGA relaxed; magnetic moment = 5.247 μB per cell
1.0
4.6419 0.0000 0.0000
-2.3209 4.0200 0.0000
0.0000 0.0000 3.8149
Pu Sb H Pt
1 1 1 1
Cartesian
0.0000 0.0000 0.0000
0.0000 2.6800 1.9074
2.3209 1.3400 0.0000
2.3209 1.3400 1.9074

SrPuH6Pt2 PBE-GGA relaxed; magnetic moment = 11.954 μB per cell
1.0
3.9346 -5.0034 0.0000
3.9346 5.0034 0.0000
-2.3188 0.0000 6.1520
Sr Pu H Pt
2 2 12 4
Cartesian
2.1955 3.4870 4.6140
3.3549 -3.4870 1.5380
3.3549 0.7818 1.5380
2.1955 -0.7818 4.6140
1.7424 2.3926 2.3169
1.4956 0.2856 0.0119
0.3362 -0.2856 3.0879
1.2414 1.2235 5.3861
4.9674 2.3926 0.7591
3.1495 1.2235 3.8419
2.4008 -1.2235 2.3101
0.5830 -2.3926 5.3929
4.3089 -1.2235 0.7659
5.2142 0.2856 3.0641
4.0548 -0.2856 6.1401
3.8080 -2.3926 3.8350
-0.4254 1.4293 5.0015
0.7340 -1.4293 1.9256
4.8164 1.4293 4.2264
5.9758 -1.4293 1.1504

Rb2HPt PBE-GGA relaxed; magnetic moment = 0.998 μB per cell; relative energy among the computed polymorphs = 0.501 eV per atom
1.0
0.0000 3.9629 3.9629
3.9629 0.0000 3.9629
3.9629 3.9629 0.0000
Rb H Pt
2 1 1
Cartesian
1.9815 1.9815 1.9815
5.9444 5.9444 5.9444
0.0000 0.0000 0.0000
3.9629 3.9629 3.9629

Rb12H5Pt3 PBE-GGA relaxed; magnetic moment = 0.000 μB per cell
1.0
-9.0984 9.0984 9.0984
9.0984 -9.0984 9.0984
9.0984 9.0984 -9.0984
Rb H Pt
48 20 12
Cartesian
2.7975 -0.4303 1.0807
10.8501 5.6299 -4.9795
11.8960 0.4303 1.0807
10.8501 -3.4685 4.9795
8.6681 -1.0807 2.7975
14.0780 -1.7517 3.4685
1.0807 2.7975 -0.4303
12.5669 4.1189 -1.7517
5.6299 4.9795 -1.7517
8.0177 2.7975 0.4303
-0.4303 1.0807 2.7975
4.9795 -1.7517 5.6299
8.6681 8.0177 -2.7975
4.9795 1.7517 3.4685
5.6299 -4.9795 10.8501
8.0177 -2.7975 8.6681
3.4685 4.9795 1.7517
10.1791 6.3009 0.4303
4.9795 10.8501 -3.4685
8.6681 1.0807 6.3009
2.7975 8.6681 -1.0807
10.8501 3.4685 4.1189
1.7517 3.4685 4.9795
2.7975 0.4303 8.0177
6.3009 8.6681 1.0807
7.3468 5.6299 4.1189
-1.7517 5.6299 4.9795
6.3009 0.4303 10.1791
0.4303 8.0177 2.7975
4.1189 -1.7517 12.5669
-1.0807 2.7975 8.6681
5.6299 4.1189 7.3468
1.0807 11.8960 0.4303
3.4685 14.0780 -1.7517
4.1189 7.3468 5.6299
0.4303 1.0807 11.8960
4.1189 10.8501 3.4685
9.5287 8.0177 6.3009
1.0807 6.3009 8.6681
3.4685 4.1189 10.8501
-3.4685 4.9795 10.8501
8.0177 6.3009 9.5287
-4.9795 10.8501 5.6299
0.4303 10.1791 6.3009
-1.7517 12.5669 4.1189
-2.7975 8.6681 8.0177
-1.7517 3.4685 14.0780
6.3009 9.5287 8.0177
0.0000 0.0000 0.0000
4.5492 4.5492 -4.5492
4.5492 -4.5492 4.5492
9.0984 0.0000 0.0000
13.6476 2.2746 0.0000
9.0984 -4.5492 6.8238
6.8238 9.0984 -4.5492
6.8238 0.0000 4.5492
4.5492 6.8238 0.0000
9.0984 4.5492 2.2746
-4.5492 4.5492 4.5492
0.0000 9.0984 0.0000
0.0000 0.0000 9.0984
4.5492 4.5492 4.5492
0.0000 4.5492 6.8238
4.5492 2.2746 9.0984
2.2746 9.0984 4.5492
2.2746 0.0000 13.6476
0.0000 13.6476 2.2746
-4.5492 6.8238 9.0984
4.5492 2.2746 0.0000
9.0984 4.5492 -2.2746
2.2746 0.0000 4.5492
11.3730 0.0000 4.5492
0.0000 4.5492 2.2746
4.5492 -2.2746 9.0984
4.5492 11.3730 0.0000
9.0984 4.5492 6.8238
-2.2746 9.0984 4.5492
6.8238 9.0984 4.5492
0.0000 4.5492 11.3730
4.5492 6.8238 9.0984

RbH8Pt2 PBE-GGA relaxed; magnetic moment = 0.000 μB per cell; relative energy among the computed polymorphs = 0.000 eV per atom
1.0
2.7375 -6.0408 0.0000
2.7375 6.0408 0.0000
0.0000 0.0000 3.6172
Rb H Pt
1 8 2
Cartesian
0.0000 0.0000 0.0000
1.3713 1.8908 1.8086
2.7375 2.9948 0.0000
1.3713 -1.8908 1.8086
2.7375 0.0000 0.3787
2.7375 0.0000 3.2385
4.1036 1.8908 1.8086
2.7375 -2.9948 0.0000
4.1036 -1.8908 1.8086
2.7375 3.0139 1.8086
2.7375 -3.0139 1.8086

RbH3Pt PBE-GGA relaxed; magnetic moment = 1.582 μB per cell; relative energy among the computed polymorphs = 2.020 eV per atom
1.0
4.3325 0.0000 0.0000
0.0000 4.3325 0.0000
0.0000 0.0000 4.3325
Rb H Pt
1 3 1
Cartesian
0.0000 0.0000 0.0000
0.0000 0.0000 2.1662
0.0000 2.1662 0.0000
2.1662 0.0000 0.0000
2.1662 2.1662 2.1662

Sequential uncorrected energy output: -7.569 -5.298 -2.418 -2.342 -3.746 -1.697 eV per atom